! GGA-PBE CrInCl3, optimized geometry; values from VASP
&SYSTEM
  ibrav = 0, nat = 10, ntyp = 3
/
ATOMIC_SPECIES
In 114.82 In.upf
Cl 35.45 Cl.upf
Cr 52.00 Cr.upf
CELL_PARAMETERS angstrom
-2.8095 -5.3141 -0.4810
0.6566 3.5604 -5.3702
7.2937 -3.8442 -0.1314
ATOMIC_POSITIONS crystal
In 0.5858 0.1717 0.3246
Cl 0.9219 0.8437 0.8177
Cl 0.6606 0.3212 0.9797
Cr 0.8668 0.7337 0.0865
Cl 0.0781 0.1563 0.1823
Cl 0.8376 0.6751 0.3596
Cl 0.1624 0.3249 0.6404
In 0.4142 0.8283 0.6754
Cl 0.3394 0.6788 0.0203
Cr 0.1332 0.2663 0.9135
! Theoretical density, g/cm3: 3.2
! Space-group type: C2/m

=====

! GGA-PBE CrIn2Cl, optimized geometry; values from VASP
&SYSTEM
  ibrav = 0, nat = 4, ntyp = 3
/
ATOMIC_SPECIES
Cr 52.00 Cr.upf
In 114.82 In.upf
Cl 35.45 Cl.upf
CELL_PARAMETERS angstrom
3.2508 0.0000 0.0000
0.0000 3.2573 -0.0528
0.0000 0.1391 8.1171
ATOMIC_POSITIONS crystal
Cr 0.5000 0.7500 0.7500
In 0.0000 0.2495 0.9593
In 0.0000 0.2505 0.5407
Cl 0.5000 0.2500 0.2500
! Theoretical density, g/cm3: 6.1
! Space-group type: Pmmm
! Offset from the most stable computed form, eV/f.u.: 0.38

=====

! GGA-PBE CrInCl3, optimized geometry; values from VASP
&SYSTEM
  ibrav = 0, nat = 5, ntyp = 3
/
ATOMIC_SPECIES
Cl 35.45 Cl.upf
In 114.82 In.upf
Cr 52.00 Cr.upf
CELL_PARAMETERS angstrom
4.9698 0.0000 0.0000
0.0000 4.9698 0.0000
0.0000 0.0000 4.9698
ATOMIC_POSITIONS crystal
Cl 0.0000 0.5000 0.0000
Cl 0.5000 0.0000 0.0000
Cl 0.0000 0.0000 0.5000
In 0.5000 0.5000 0.5000
Cr 0.0000 0.0000 0.0000
! Theoretical density, g/cm3: 3.7
! Space-group type: Pm-3m

=====

! GGA-PBE CrIn2Cl, optimized geometry; values from VASP
&SYSTEM
  ibrav = 0, nat = 4, ntyp = 3
/
ATOMIC_SPECIES
Cr 52.00 Cr.upf
Cl 35.45 Cl.upf
In 114.82 In.upf
CELL_PARAMETERS angstrom
-2.9845 -0.9306 -0.7691
1.1929 -1.9577 -2.2604
0.5389 -6.9076 6.2670
ATOMIC_POSITIONS crystal
Cr 0.5000 0.5000 0.7365
Cl 0.0000 0.0000 0.5852
In 0.5000 0.5000 0.2265
In 0.0000 0.0000 0.9518
! Theoretical density, g/cm3: 5.4
! Space-group type: P4mm
! Offset from the most stable computed form, eV/f.u.: 0.24

=====

Summary of raw formation energy in meV/atom
-885 -6 -891 -40
(order as listed above)
Summary of uncorrected energy in eV per atom
-4.465 -4.242 -4.471 -4.277
(order as listed above)